# MgSn2Pt (GGA-PBE, relaxed)
data_MgSn2Pt
_symmetry_space_group_name_H-M 'P 1'
_symmetry_Int_Tables_number 1
_symmetry_space_group_name_Hall 'P 1'
_cell_length_a 3.597
_cell_length_b 3.597
_cell_length_c 9.523
_cell_angle_alpha 79.11
_cell_angle_beta 79.11
_cell_angle_gamma 60.00
loop_
_atom_site_label
_atom_site_type_symbol
_atom_site_fract_x
_atom_site_fract_y
_atom_site_fract_z
Pt1 Pt 0.500 0.500 0.500
Mg1 Mg 0.000 0.000 0.000
Sn1 Sn 0.103 0.103 0.690
Sn2 Sn 0.897 0.897 0.310
# Total magnetic moment in μB per formula unit: 0.00
# Calculated density in g/cm³: 7.28
# DFT total energy in eV for the cell shown: -16.324